First-principles (PBE-GGA) data for an optimized crystal structure of InSnTeSe, as listed in the Alexandria database.

```
InSnTeSe
1.0
3.659 -2.379 0.000
3.659 2.379 0.000
-0.267 0.000 8.524
In Sn Te Se
1 1 1 1
Cartesian
0.000 0.000 0.000
0.047 0.000 2.908
2.275 0.000 7.216
4.759 0.000 3.809
```

Output
- uncorrected formation energy (kJ/mol of formula units) = -82
- raw total energy (eV per atom) = -3.5546
- SG = No. 8

First-principles (PBE-GGA) data for an optimized crystal structure of ThInSnSe, as listed in the Alexandria database.

```
ThInSnSe
1.0
4.877 0.000 0.000
0.000 4.877 0.000
0.000 0.000 8.917
Th In Sn Se
2 2 2 2
Cartesian
1.219 1.219 1.778
3.658 3.658 7.139
1.219 3.658 4.459
3.658 1.219 4.459
1.219 1.219 6.278
3.658 3.658 2.639
1.219 3.658 0.000
3.658 1.219 0.000
```

Output
- uncorrected formation energy (kJ/mol of formula units) = -265
- raw total energy (eV per atom) = -5.0971
- SG = No. 129

First-principles (PBE-GGA) data for an optimized crystal structure of Tl3In3SnSe8, as listed in the Alexandria database.

```
Tl3In3SnSe8
1.0
5.403 -4.116 0.000
5.403 4.116 0.000
-1.783 0.000 10.691
Tl In Sn Se
3 3 1 8
Cartesian
0.000 0.000 0.000
2.396 -0.556 2.721
6.626 -0.556 7.970
2.398 -0.982 7.718
5.403 -0.023 0.000
6.624 -0.982 2.973
4.511 4.078 5.345
2.491 2.471 5.135
3.719 1.182 8.356
5.303 1.182 2.335
6.531 2.471 5.556
1.550 -1.631 10.130
4.619 -2.861 3.132
4.403 -2.861 7.558
7.473 -1.631 0.560
```

Output
- uncorrected formation energy (kJ/mol of formula units) = -681
- raw total energy (eV per atom) = -3.6168
- SG = No. 5

First-principles (PBE-GGA) data for an optimized crystal structure of Tl2InSnSe4, as listed in the Alexandria database.

```
Tl2InSnSe4
1.0
-4.091 4.091 3.540
4.091 -4.091 3.540
4.091 4.091 -3.540
Tl In Sn Se
2 1 1 4
Cartesian
4.091 0.000 0.000
0.000 4.091 0.000
0.000 0.000 0.000
0.000 0.000 3.540
1.447 -1.447 1.693
-1.447 1.447 1.693
2.644 2.644 1.847
1.447 1.447 5.387
```

Output
- uncorrected formation energy (kJ/mol of formula units) = -319
- raw total energy (eV per atom) = -3.5903
- SG = No. 121

First-principles (PBE-GGA) data for an optimized crystal structure of TlInSnSe4, as listed in the Alexandria database.

```
TlInSnSe4
1.0
6.838 0.000 0.000
0.000 7.787 0.000
-1.693 0.000 8.651
Tl In Sn Se
2 2 2 8
Cartesian
1.239 1.947 0.573
3.905 5.840 8.078
0.803 5.840 2.865
4.341 1.947 5.786
0.961 1.947 5.910
4.184 5.840 2.741
-0.746 0.023 6.253
-0.746 3.871 6.253
2.505 5.840 0.805
2.527 1.947 3.875
2.617 5.840 4.775
2.640 1.947 7.845
5.891 3.916 2.397
5.891 7.764 2.397
```

Output
- uncorrected formation energy (kJ/mol of formula units) = -258
- raw total energy (eV per atom) = -3.6744
- SG = No. 11

First-principles (PBE-GGA) data for an optimized crystal structure of Tl3InSn3Se8, as listed in the Alexandria database.

```
Tl3InSn3Se8
1.0
7.015 -4.044 0.000
7.015 4.044 0.000
-4.691 0.000 7.754
Tl In Sn Se
3 1 3 8
Cartesian
0.000 0.000 0.000
3.508 2.022 0.000
3.508 -2.022 0.000
-2.345 0.000 3.877
1.162 2.022 3.877
1.162 -2.022 3.877
4.670 0.000 3.877
3.511 2.043 5.466
-0.030 0.000 5.467
5.828 2.043 2.288
2.332 0.000 2.242
7.007 0.000 5.512
3.511 -2.043 5.466
9.370 0.000 2.287
5.828 -2.043 2.288
```

Output
- uncorrected formation energy (kJ/mol of formula units) = -593
- raw total energy (eV per atom) = -3.7248
- SG = No. 12

First-principles (PBE-GGA) data for an optimized crystal structure of Tl2InSnSe5, as listed in the Alexandria database.

```
Tl2InSnSe5
1.0
1.992 -9.621 0.000
1.992 9.621 0.000
0.000 0.000 13.504
Tl In Sn Se
4 2 2 10
Cartesian
1.992 7.572 6.752
1.992 7.144 2.078
1.992 -7.144 8.830
1.992 -7.572 0.000
1.992 1.060 3.613
1.992 -1.060 10.365
1.992 5.534 11.700
1.992 -5.534 4.948
1.992 8.510 12.053
1.992 4.200 6.848
1.992 3.675 3.026
1.992 2.904 11.146
1.992 0.280 8.203
1.992 -0.280 1.451
1.992 -2.904 4.394
1.992 -3.675 9.778
1.992 -4.200 0.096
1.992 -8.510 5.302
```

Output
- uncorrected formation energy (kJ/mol of formula units) = -313
- raw total energy (eV per atom) = -3.5707
- SG = No. 36

First-principles (PBE-GGA) data for an optimized crystal structure of TlIn2SnSe6, as listed in the Alexandria database.

```
TlIn2SnSe6
1.0
7.333 -6.707 0.000
7.333 6.707 0.000
-4.279 0.000 7.254
Tl In Sn Se
2 4 2 12
Cartesian
4.123 4.554 5.441
6.263 -4.554 1.814
0.687 1.011 6.671
2.826 -1.011 3.043
7.560 1.011 4.211
9.700 -1.011 0.584
6.263 4.581 1.814
4.123 -4.581 5.441
-1.172 0.614 4.844
1.294 3.560 6.826
0.967 -0.614 1.217
2.792 0.796 4.905
6.953 3.560 4.055
4.932 -0.796 1.278
5.455 0.796 5.976
3.434 -3.560 3.199
7.594 -0.796 2.349
9.419 0.614 6.037
9.092 -3.560 0.428
11.559 -0.614 2.410
```

Output
- uncorrected formation energy (kJ/mol of formula units) = -306
- raw total energy (eV per atom) = -3.5924
- SG = No. 15

First-principles (PBE-GGA) data for an optimized crystal structure of TlInSnSe3, as listed in the Alexandria database.

```
TlInSnSe3
1.0
9.309 0.000 0.000
0.000 4.292 0.000
-1.224 0.000 10.406
Tl In Sn Se
2 2 2 6
Cartesian
1.329 1.073 1.858
6.756 3.219 8.548
0.106 1.073 6.464
7.979 3.219 3.941
2.444 3.219 8.965
5.641 1.073 1.440
0.175 1.073 8.988
1.111 3.219 5.151
3.548 3.219 1.257
4.536 1.073 9.148
6.973 1.073 5.254
7.910 3.219 1.418
```

Output
- uncorrected formation energy (kJ/mol of formula units) = -255
- raw total energy (eV per atom) = -3.7008
- SG = No. 11

First-principles (PBE-GGA) data for an optimized crystal structure of TmIn2SnSe4, as listed in the Alexandria database.

```
TmIn2SnSe4
1.0
7.455 0.000 0.000
0.000 4.135 0.000
-2.387 0.000 7.172
Tm In Sn Se
1 2 1 4
Cartesian
0.000 0.000 0.000
-1.194 2.068 3.586
2.534 0.000 3.586
3.728 2.068 0.000
1.143 2.068 1.583
-0.068 0.000 5.478
5.136 0.000 1.694
3.924 2.068 5.589
```

Output
- uncorrected formation energy (kJ/mol of formula units) = -636
- raw total energy (eV per atom) = -4.3106
- SG = No. 10

First-principles (PBE-GGA) data for an optimized crystal structure of SrInSe, as listed in the Alexandria database.

```
SrInSe
1.0
5.043 0.000 0.000
-2.522 4.367 0.000
0.000 0.000 4.134
Sr In Se
1 1 1
Cartesian
0.000 0.000 0.000
2.522 1.456 2.064
0.000 2.912 2.072
```

Output
- relative energy among the computed polymorphs (eV per atom) = 0.133
- uncorrected formation energy (kJ/mol of formula units) = -226
- raw total energy (eV per atom) = -3.4141
- SG = No. 156

First-principles (PBE-GGA) data for an optimized crystal structure of SrInSe2, as listed in the Alexandria database.

```
SrInSe2
1.0
5.214 0.000 0.000
0.000 5.214 0.000
0.000 0.000 3.786
Sr In Se
1 1 2
Cartesian
0.000 0.000 0.000
2.607 2.607 0.000
0.000 2.607 1.893
2.607 0.000 1.893
```

Output
- uncorrected formation energy (kJ/mol of formula units) = -389
- raw total energy (eV per atom) = -3.8542
- SG = No. 123